Computed, not measured: an optimized crystal structure of NaHg2F6 at the PBE-GGA level of DFT.

The value obtained for the uncorrected formation energy is -1377 kJ/mol of formula units. The mass density is 5.81 Mg/m³. The density of states at the Fermi level comes out at 7.318 states/eV per cell. The value obtained for the volume is 17.10 Å³ per atom. As for the total energy: -54.9 eV for the cell shown. The space group is No. 14.

```
NaHg2F6
1.0
6.1760 0.0000 0.0000
0.0000 5.1546 0.0000
-5.9392 0.0000 9.6678
Na Hg F
2 4 12
Cartesian
0.0000 0.0000 0.0000 Na
-2.9696 2.5773 4.8339 Na
-2.8960 0.0036 7.8710 Hg
0.0736 2.5737 3.0371 Hg
0.1632 2.5809 6.6307 Hg
3.1328 5.1510 1.7968 Hg
-3.9444 3.8406 6.4914 F
-0.9748 3.8913 1.6575 F
1.0622 1.2620 1.6340 F
-1.9074 1.3153 6.4679 F
-0.8368 3.5409 4.8380 F
2.1328 4.1910 0.0041 F
-1.8960 0.9636 9.6636 F
1.0736 1.6137 4.8297 F
2.1441 3.8393 3.1999 F
-0.8255 3.8926 8.0338 F
1.2116 1.2633 8.0103 F
4.1812 1.3140 3.1764 F
```